{
  "formula": "In3IrCl",
  "functional": "PBE-GGA",
  "state": "optimized geometry",
  "lattice_angstrom": [[-5.181, -0.545, 0.345], [0.379, -6.158, -4.013], [0.824, -3.944, 6.163]],
  "species": ["In", "In", "In", "In", "In", "In", "Ir", "Ir", "Cl", "Cl"],
  "fractional_positions": [[0.925, 0.587, 0.502], [0.425, 0.320, 0.269], [0.925, 0.087, 0.501], [0.925, 0.088, 0.001], [0.925, 0.587, 0.001], [0.425, 0.855, 0.734], [0.925, 0.836, 0.753], [0.925, 0.339, 0.250], [0.423, 0.291, 0.706], [0.423, 0.885, 0.298]],
  "polymorph_energy_mev_per_atom": 0,
  "space_group": "Cm, No. 8",
  "raw_formation_energy_ev_per_atom": -0.438
}